(1)
Here is a geometry-optimized BaCd2Cu structure from Alexandria. Energies are from GGA-PBE.

The structure in extended XYZ format:
```
4
Lattice="-3.366 -3.522 3.668 3.433 -4.234 2.734 -0.772 6.020 -0.599" Properties=species:S:1:pos:R:3 pbc="T T T"
Ba 1.348 -1.046 2.668
Cd 0.064 -7.375 6.088
Cd 0.037 -4.258 3.515
Cu -2.052 -0.690 3.135
```

Calculated values
- space group = Immm
- DFT formation energy (eV per formula unit) = -0.09
- calculated total energy (eV per cell) = -7.940

=====

(2)
Here is a geometry-optimized Ba2Cd2Cu structure from Alexandria. Energies are from GGA-PBE.

The structure in extended XYZ format:
```
10
Lattice="7.775 0.000 0.000 0.000 7.775 0.000 0.000 0.000 5.504" Properties=species:S:1:pos:R:3 pbc="T T T"
Ba 1.371 5.259 2.752
Ba 5.259 6.404 2.752
Ba 6.404 2.516 2.752
Ba 2.516 1.371 2.752
Cu 0.000 0.000 0.000
Cu 3.888 3.888 0.000
Cd 2.832 6.719 0.000
Cd 6.719 4.943 0.000
Cd 4.943 1.056 0.000
Cd 1.056 2.832 0.000
```

Calculated values
- space group = P4/mbm
- DFT formation energy (eV per formula unit) = -0.09
- calculated total energy (eV per cell) = -19.723

=====

(3)
Here is a geometry-optimized Ba12Cd3Cu5 structure from Alexandria. Energies are from GGA-PBE.

The structure in extended XYZ format:
```
80
Lattice="-0.846 -14.844 8.454 -1.520 -2.904 -16.786 15.043 7.504 3.148" Properties=species:S:1:pos:R:3 pbc="T T T"
Cd 0.676 -11.284 0.439
Cd 0.000 -14.229 -4.799
Cd 7.945 -3.055 -7.452
Cd 5.240 -1.260 1.196
Cd 2.830 -11.475 6.086
Cd 2.493 -5.506 -6.534
Cd 10.184 -4.738 1.350
Cd 9.846 1.231 -11.270
Cd 7.437 -8.984 -6.380
Cd 4.732 -7.189 2.268
Cd 12.677 3.985 -0.385
Cd 12.001 1.040 -5.623
Cu 3.085 -1.069 -4.451
Cu -0.760 -1.452 -8.393
Cu 0.000 0.000 0.000
Cu 1.183 -5.355 -0.633
Cu 7.099 -3.670 5.801
Cu -1.183 -8.874 -4.166
Cu 4.395 -1.220 -10.352
Cu 12.338 -4.930 6.997
Cu 4.056 -10.134 -2.971
Cu 10.775 -0.301 3.433
Cu 1.902 -9.943 -8.617
Cu 6.338 -5.122 -2.592
Cu -0.423 -7.422 4.227
Cu 7.522 3.752 1.574
Cu 8.620 -0.110 -2.214
Cu 0.339 -5.314 -12.181
Cu 6.762 2.300 -6.819
Cu 8.282 -9.024 5.168
Cu 11.494 -4.890 -4.552
Cu 9.592 -9.176 -0.733
Ba -0.250 -10.670 4.082
Ba 5.129 -3.249 -4.965
Ba 2.928 -13.253 2.719
Ba 1.068 -7.653 1.341
Ba 8.602 -5.753 -4.846
Ba 0.956 -14.687 -1.141
Ba 4.693 -4.005 -9.192
Ba 0.388 -3.010 -14.150
Ba 8.223 -6.429 -9.092
Ba 1.163 -10.969 -3.325
Ba 4.305 -10.199 0.050
Ba -1.545 -14.598 -8.260
Ba 6.874 0.130 -9.244
Ba 0.411 -6.124 -3.462
Ba 4.212 -1.162 -13.378
Ba 8.294 -2.034 3.252
Ba 2.858 -0.257 -1.539
Ba -0.117 -8.205 -7.169
Ba 2.239 -12.703 -7.410
Ba 0.579 -2.359 -5.567
Ba 10.055 -2.496 -10.516
Ba 4.720 -7.444 -4.202
Ba 6.038 -11.925 -4.406
Ba 12.527 -5.794 4.097
Ba 7.957 -2.800 -0.983
Ba 6.639 1.681 -0.778
Ba 0.149 -4.450 -9.281
Ba 10.438 2.459 2.225
Ba 2.622 -7.748 5.332
Ba 12.098 -7.885 0.382
Ba 12.794 -2.039 1.985
Ba 4.383 -8.210 -8.436
Ba 9.819 -9.987 -3.646
Ba 8.465 -9.083 8.194
Ba 5.803 -10.374 4.060
Ba 14.222 4.354 3.076
Ba 12.265 -4.120 -1.722
Ba 4.453 -3.815 3.908
Ba 11.514 0.725 -1.860
Ba 8.372 -0.045 -5.235
Ba 12.288 -7.235 8.966
Ba 7.984 -6.239 4.007
Ba 11.609 -2.591 -6.526
Ba 11.721 4.442 -4.043
Ba 4.075 -4.492 -0.338
Ba 9.748 3.009 -7.904
Ba 7.548 -6.996 -0.220
Ba 12.927 0.426 -9.266
```

Calculated values
- space group = Ia-3d
- DFT formation energy (eV per formula unit) = 1.61
- calculated total energy (eV per cell) = -178.769

=====

(4)
Here is a geometry-optimized BaCd2Cu structure from Alexandria. Energies are from GGA-PBE.

The structure in extended XYZ format:
```
4
Lattice="-4.359 0.572 -1.715 -3.718 -0.088 2.905 -2.198 6.115 1.179" Properties=species:S:1:pos:R:3 pbc="T T T"
Ba -2.569 1.650 0.592
Cd -2.274 5.221 1.062
Cd -5.061 4.194 1.302
Cu -7.706 4.949 1.777
```

Calculated values
- space group = C2/m
- DFT formation energy (eV per formula unit) = -0.49
- calculated total energy (eV per cell) = -8.339